This record from the Alexandria database describes K2NdTmTe4 after structural relaxation. The functional is PBE.

The value obtained for the uncorrected formation energy is -1.39 eV per atom. The calculation puts the spin magnetization at 0.0 μB per formula unit.

The space group is P2/m (No. 10) and the conventional cell measures 7.8621, 4.5362 and 8.6563 Å, with angles of 90.00, 107.60 and 90.00 degrees. Symmetry generates all atoms from K at (0.0000, 0.0000, 0.0000), K at (0.5000, 0.5000, 0.0000), Nd at (0.0000, 0.5000, 0.5000), Tm at (0.5000, 0.0000, 0.5000), Te at (0.2468, 0.0000, 0.7124) and Te at (0.2732, 0.5000, 0.2921).

This record from the Alexandria database describes K3NdU2Te6 after structural relaxation. The functional is PBE.

The value obtained for the uncorrected formation energy is -1.03 eV per atom. The calculation puts the spin magnetization at 6.0 μB per formula unit.

The space group is C2/m (No. 12) and the conventional cell measures 7.8659, 13.6249 and 8.6965 Å, with angles of 90.00, 107.55 and 90.00 degrees. Symmetry generates all atoms from K at (0.0000, 0.0000, 0.0000), K at (0.0000, 0.3352, 0.0000), Nd at (0.0000, 0.5000, 0.5000), U at (0.0000, 0.1670, 0.5000), Te at (0.2319, 0.0000, 0.7127) and Te at (0.2407, 0.3306, 0.7134).

This record from the Alexandria database describes K3NdU3Te8 after structural relaxation. The functional is PBE.

The value obtained for the uncorrected formation energy is -0.96 eV per atom. The calculation puts the spin magnetization at 8.0 μB per formula unit.

The space group is R-3m (No. 166, hexagonal axes) and the conventional cell measures 8.9638, 8.9638 and 25.1150 Å, with angles of 90.00, 90.00 and 120.00 degrees. Symmetry generates all atoms from K at (0.0000, 0.5000, 0.0000), Nd at (0.0000, 0.0000, 0.5000), U at (0.0000, 0.5000, 0.5000), Te at (0.0000, 0.0000, 0.2369) and Te at (0.0093, 0.5046, 0.7628).

This record from the Alexandria database describes K2Nd2UTe6 after structural relaxation. The functional is PBE.

The value obtained for the uncorrected formation energy is -1.19 eV per atom. The calculation puts the spin magnetization at 2.0 μB per formula unit.

The space group is C2/m (No. 12) and the conventional cell measures 7.8679, 13.5481 and 8.8176 Å, with angles of 90.00, 107.64 and 90.00 degrees. Symmetry generates all atoms from K at (0.0000, 0.1700, 0.0000), Nd at (0.0000, 0.3327, 0.5000), U at (0.0000, 0.0000, 0.5000), Te at (0.2342, 0.1607, 0.7103) and Te at (0.2487, 0.5000, 0.7083).

This record from the Alexandria database describes K3Nd2UTe6 after structural relaxation. The functional is PBE.

The value obtained for the uncorrected formation energy is -1.22 eV per atom. The calculation puts the spin magnetization at 3.0 μB per formula unit.

The space group is C2/m (No. 12) and the conventional cell measures 7.9580, 13.7819 and 8.6860 Å, with angles of 90.00, 107.78 and 90.00 degrees. Symmetry generates all atoms from K at (0.0000, 0.0000, 0.0000), K at (0.0000, 0.3321, 0.0000), Nd at (0.0000, 0.1664, 0.5000), U at (0.0000, 0.5000, 0.5000), Te at (0.2361, 0.3352, 0.7143) and Te at (0.2422, 0.0000, 0.7148).

This record from the Alexandria database describes K4Nd3YTe8 after structural relaxation. The functional is PBE.

The value obtained for the uncorrected formation energy is -1.41 eV per atom. The calculation puts the spin magnetization at 0.0 μB per formula unit.

The space group is R-3m (No. 166, hexagonal axes) and the conventional cell measures 9.1803, 9.1803 and 24.7622 Å, with angles of 90.00, 90.00 and 120.00 degrees. Symmetry generates all atoms from K at (0.0000, 0.0000, 0.0000), K at (0.0000, 0.5000, 0.0000), Nd at (0.0000, 0.5000, 0.5000), Y at (0.0000, 0.0000, 0.5000), Te at (0.0000, 0.0000, 0.2386) and Te at (0.0065, 0.5032, 0.2375).

This record from the Alexandria database describes KNdY2Te4 after structural relaxation. The functional is PBE.

The value obtained for the uncorrected formation energy is -1.36 eV per atom. The calculation puts the spin magnetization at 0.0 μB per formula unit.

The space group is P2/m (No. 10) and the conventional cell measures 7.8385, 4.4230 and 7.8893 Å, with angles of 90.00, 108.35 and 90.00 degrees. Symmetry generates all atoms from K at (0.0000, 0.0000, 0.0000), Nd at (0.5000, 0.5000, 0.0000), Y at (0.0000, 0.5000, 0.5000), Y at (0.5000, 0.0000, 0.5000), Te at (0.2497, 0.0000, 0.7357) and Te at (0.2638, 0.5000, 0.2710).

This record from the Alexandria database describes KNd3Y2Te6 after structural relaxation. The functional is PBE.

The value obtained for the uncorrected formation energy is -1.36 eV per atom. The calculation puts the spin magnetization at 0.0 μB per formula unit.

The space group is C2/m (No. 12) and the conventional cell measures 19.6581, 4.4593 and 9.1125 Å, with angles of 90.00, 103.58 and 90.00 degrees. Symmetry generates all atoms from K at (0.0000, 0.0000, 0.0000), Nd at (0.0000, 0.0000, 0.5000), Nd at (0.1584, 0.5000, 0.8180), Y at (0.1664, 0.5000, 0.3401), Te at (0.0065, 0.5000, 0.2602), Te at (0.1692, 0.0000, 0.5765) and Te at (0.1738, 0.0000, 0.0920).